Sm2Zn3Cu12Au: optimized geometry, PBE-GGA.

Calculated values
Its formation energy is 0.094 eV per atom. The volume is 16.884 A^3/atom. Its spin magnetization is 0.00 Bohr magnetons per cell.

Unit cell a=6.2809 b=6.2809 c=26.6878 alpha=90.00 beta=90.00 gamma=120.00
Space group R-3m (No. 166, hexagonal axes)
Symmetry-distinct sites (fractional):
Sm 0.0000 0.0000 0.1421 (multiplicity 6)
Zn 0.0000 0.5000 0.0000 (multiplicity 9)
Cu 0.0348 0.5174 0.9004 (multiplicity 18)
Cu 0.0794 0.5397 0.6222 (multiplicity 18)
Au 0.0000 0.0000 0.5000 (multiplicity 3)

---

SmZnCuAu: optimized geometry, PBE-GGA.

Calculated values
Its formation energy is -0.427 eV per atom. The volume is 19.957 A^3/atom. Its spin magnetization is 0.00 Bohr magnetons per cell. For the energy relative to the lowest polymorph listed for this composition, the calculation gives 0.000 eV/atom.

Unit cell a=7.7101 b=4.4436 c=5.3242 alpha=90.00 beta=118.92 gamma=90.00
Space group Cm (No. 8)
Symmetry-distinct sites (fractional):
Sm 0.0000 0.0000 0.0000 (multiplicity 2)
Zn 0.4765 0.0000 0.4298 (multiplicity 2)
Cu 0.2909 0.5000 0.3723 (multiplicity 2)
Au 0.2143 0.0000 0.6442 (multiplicity 2)

---

SmZrCuAu: optimized geometry, PBE-GGA.

Calculated values
Its formation energy is -0.281 eV per atom. The volume is 21.393 A^3/atom. Its spin magnetization is 3.30 Bohr magnetons per cell.

Unit cell a=6.9952 b=6.9952 c=6.9952 alpha=90.00 beta=90.00 gamma=90.00
Space group F-43m (No. 216)
Symmetry-distinct sites (fractional):
Sm 0.0000 0.0000 0.0000 (multiplicity 4)
Zr 0.0000 0.0000 0.5000 (multiplicity 4)
Cu 0.2500 0.2500 0.7500 (multiplicity 4)
Au 0.2500 0.2500 0.2500 (multiplicity 4)

---

CuSnAu2: optimized geometry, PBE-GGA.

Calculated values
Its formation energy is -0.003 eV per atom. The volume is 18.190 A^3/atom. Its spin magnetization is 0.00 Bohr magnetons per cell.

Unit cell a=4.2046 b=4.2046 c=4.1157 alpha=90.00 beta=90.00 gamma=90.00
Space group P4/mmm (No. 123)
Symmetry-distinct sites (fractional):
Cu 0.0000 0.0000 0.0000 (multiplicity 1)
Sn 0.5000 0.5000 0.0000 (multiplicity 1)
Au 0.0000 0.5000 0.5000 (multiplicity 2)